The following is a DFT calculation (GGA-PBE) of crystalline Cs3AgO at its relaxed geometry.

abc: 4.460 7.863 12.796
angles: 74.96 90.00 73.52
Sites, in units of the cell vectors:
Cs: 0.228 0.112 0.352
Cs: 0.512 0.546 0.160
Cs: 0.177 0.215 0.899
Cs: 0.687 0.194 0.626
Cs: 0.460 0.649 0.707
Cs: 0.001 0.567 0.433
Ag: 0.802 0.966 0.127
Ag: 0.887 0.795 0.932
O: 0.076 0.416 0.675
O: 0.612 0.344 0.384

Output
Space-group type = C2/m, No. 12
Magnetization = 0.0 μB/cell
Formation energy without anion corrections = -546 meV per atom
E above lowest polymorph = 0 meV per atom
Uncorrected energy = -2.6205 eV per atom